Record 1
PrHoCd2Au4 | GGA-PBE | optimized geometry

Computed properties:
SG ... No. 123
Total magnetic moment ... 0.0 μB/cell
E_form ... -5.3 eV per formula unit

The structure in POSCAR format:
```
PrHoCd2Au4
1.0
4.987 0.000 0.000
0.000 4.987 0.000
0.000 0.000 7.044
Ho Au Pr Cd
1 4 1 2
direct
0.000 0.000 0.500
0.000 0.500 0.736
0.500 0.000 0.736
0.000 0.500 0.264
0.500 0.000 0.264
0.500 0.500 0.000
0.000 0.000 0.000
0.500 0.500 0.500
```


Record 2
ThTlTe | GGA-PBE | optimized geometry

Computed properties:
Distance to the lowest polymorph of the same formula ... 0.000 eV/atom
SG ... No. 216
Total magnetic moment ... 0.0 μB/cell

The structure in POSCAR format:
```
ThTlTe
1.0
4.845 -0.682 1.840
0.724 -1.624 4.915
1.790 -4.824 0.922
Te Tl Th
1 1 1
direct
0.000 0.000 0.000
0.750 0.750 0.750
0.250 0.250 0.250
```